{
  "formula": "BeTlSi3",
  "functional": "PBE",
  "state": "optimized geometry",
  "rho_g_cm3": 3.526,
  "space_group": "Pm-3m, No. 221",
  "e_form_raw_ev_per_fu": 9.724,
  "lattice": [[5.195, 0.000, 0.000], [0.000, 5.195, 0.000], [0.000, 0.000, 5.195]],
  "species": ["Be", "Tl", "Si", "Si", "Si"],
  "fractional_positions": [[0.000, 0.000, 0.000], [0.500, 0.500, 0.500], [0.000, 0.500, 0.500], [0.500, 0.000, 0.500], [0.500, 0.500, 0.000]]
}


{
  "formula": "BeTlSi",
  "functional": "PBE",
  "state": "optimized geometry",
  "rho_g_cm3": 7.299,
  "space_group": "F-43m, No. 216",
  "e_form_raw_ev_per_fu": 1.757,
  "lattice": [[6.034, 0.000, 0.000], [0.000, 6.034, 0.000], [0.000, 0.000, 6.034]],
  "species": ["Be", "Be", "Be", "Be", "Tl", "Tl", "Tl", "Tl", "Si", "Si", "Si", "Si"],
  "fractional_positions": [[0.000, 0.000, 0.000], [0.000, 0.500, 0.500], [0.500, 0.000, 0.500], [0.500, 0.500, 0.000], [0.250, 0.250, 0.750], [0.250, 0.750, 0.250], [0.750, 0.250, 0.250], [0.750, 0.750, 0.750], [0.250, 0.250, 0.250], [0.250, 0.750, 0.750], [0.750, 0.250, 0.750], [0.750, 0.750, 0.250]]
}


{
  "formula": "Be2TlSi",
  "functional": "PBE",
  "state": "optimized geometry",
  "rho_g_cm3": 5.867,
  "space_group": "Immm, No. 71",
  "e_form_raw_ev_per_fu": 2.734,
  "lattice": [[3.776, 0.000, 0.000], [0.000, 5.896, 0.000], [0.000, 0.000, 6.370]],
  "species": ["Be", "Be", "Be", "Be", "Tl", "Tl", "Si", "Si"],
  "fractional_positions": [[0.000, 0.000, 0.174], [0.000, 0.000, 0.826], [0.500, 0.500, 0.326], [0.500, 0.500, 0.674], [0.000, 0.500, 0.000], [0.500, 0.000, 0.500], [0.000, 0.500, 0.500], [0.500, 0.000, 0.000]]
}


{
  "formula": "BeTlSi2",
  "functional": "PBE",
  "state": "optimized geometry",
  "rho_g_cm3": 6.292,
  "space_group": "P4/mmm, No. 123",
  "e_form_raw_ev_per_fu": 2.673,
  "lattice": [[3.583, 0.000, 0.000], [0.000, 3.583, 0.000], [0.000, 0.000, 5.543]],
  "species": ["Be", "Tl", "Si", "Si"],
  "fractional_positions": [[0.000, 0.000, 0.000], [0.500, 0.500, 0.000], [0.000, 0.000, 0.500], [0.500, 0.500, 0.500]]
}


{
  "formula": "Be2TlSi",
  "functional": "PBE",
  "state": "optimized geometry",
  "rho_g_cm3": 6.332,
  "space_group": "F-43m, No. 216",
  "e_form_raw_ev_per_fu": 4.075,
  "lattice": [[6.405, 0.000, 0.000], [0.000, 6.405, 0.000], [0.000, 0.000, 6.405]],
  "species": ["Be", "Be", "Be", "Be", "Be", "Be", "Be", "Be", "Tl", "Tl", "Tl", "Tl", "Si", "Si", "Si", "Si"],
  "fractional_positions": [[0.000, 0.000, 0.000], [0.000, 0.500, 0.500], [0.250, 0.250, 0.250], [0.250, 0.750, 0.750], [0.500, 0.000, 0.500], [0.500, 0.500, 0.000], [0.750, 0.250, 0.750], [0.750, 0.750, 0.250], [0.250, 0.250, 0.750], [0.250, 0.750, 0.250], [0.750, 0.250, 0.250], [0.750, 0.750, 0.750], [0.000, 0.000, 0.500], [0.000, 0.500, 0.000], [0.500, 0.000, 0.000], [0.500, 0.500, 0.500]]
}


{
  "formula": "BeTlSi2",
  "functional": "PBE",
  "state": "optimized geometry",
  "rho_g_cm3": 5.928,
  "space_group": "Pm, No. 6",
  "e_form_raw_ev_per_fu": 1.794,
  "lattice": [[3.508, 0.000, 0.000], [0.000, 3.492, 0.000], [-1.732, 0.000, 6.165]],
  "species": ["Be", "Tl", "Si", "Si"],
  "fractional_positions": [[0.000, 0.000, 0.000], [0.635, 0.500, 0.261], [0.379, 0.000, 0.757], [0.869, 0.500, 0.733]]
}


Calculated DOS(E_F) in order - 4.7; 3.4; 2.4; 1.5; 7.4; 1.1 states/eV per cell
Calculated energy relative to the lowest polymorph listed for this composition in order - 6.197; 0.448; 1.618; 1.038; 2.959; 0.160 eV/f.u.